Density functional theory data (PBE) for an optimized crystal structure of Dy2Ga4AgPt3.

VASP energy, eV/cell: -50.42
Total moment, μB/cell: 0.0
Energy of formation, kcal/mol of atoms: -18.75

Structure (POSCAR):
```
Dy2Ga4AgPt3
1.0
-3.6387 -0.9301 1.8292
-1.7945 -0.3644 -3.7548
2.6010 -10.5979 -0.2146
Dy Ga Ag Pt
2 4 1 3
Cartesian
-1.1962 -3.0043 0.8632 Dy
1.0806 -8.2409 -2.0406 Dy
-2.7166 -0.6472 -0.9628 Ga
0.0000 0.0000 0.0000 Ga
-0.1592 -7.2294 0.7776 Ga
0.0436 -4.0157 -1.9550 Ga
-1.4161 -5.9462 -1.0701 Ag
1.3005 -5.2990 -0.1073 Pt
0.4266 -9.6164 0.7293 Pt
-0.5422 -1.6288 -1.9067 Pt
```

***

Density functional theory data (PBE) for an optimized crystal structure of DyGaAgPt.

VASP energy, eV/cell: -19.03
Total moment, μB/cell: 0.0
Energy of formation, kcal/mol of atoms: -14.47

Structure (POSCAR):
```
DyGaAgPt
1.0
4.7617 0.0000 0.0000
2.3808 4.1237 0.0000
2.3808 1.3746 3.8879
Ga Ag Pt Dy
1 1 1 1
Cartesian
4.7617 2.7492 1.9439 Ga
2.3808 1.3746 0.9720 Ag
7.1425 4.1237 2.9159 Pt
0.0000 0.0000 0.0000 Dy
```

***

Density functional theory data (PBE) for an optimized crystal structure of Dy2Ga3AgPt4.

VASP energy, eV/cell: -53.83
Total moment, μB/cell: 0.0
Energy of formation, kcal/mol of atoms: -19.68

Structure (POSCAR):
```
Dy2Ga3AgPt4
1.0
4.0075 0.0000 0.0000
0.0000 4.0075 0.0000
0.0000 0.0000 11.8376
Dy Ga Ag Pt
2 3 1 4
Cartesian
2.0037 0.0000 2.9911 Dy
0.0000 2.0037 8.8465 Dy
0.0000 0.0000 5.9188 Ga
2.0037 0.0000 10.3002 Ga
0.0000 2.0037 1.5374 Ga
2.0037 2.0037 5.9188 Ag
2.0037 2.0037 0.0000 Pt
0.0000 0.0000 0.0000 Pt
2.0037 0.0000 7.8436 Pt
0.0000 2.0037 3.9940 Pt
```

***

Density functional theory data (PBE) for an optimized crystal structure of DyPuGaAg.

VASP energy, eV/cell: -25.73
Total moment, μB/cell: 5.7
Energy of formation, kcal/mol of atoms: -5.30

Structure (POSCAR):
```
DyPuGaAg
1.0
-2.7331 -1.1698 4.1844
0.1181 -4.7702 1.8919
2.3881 -0.9395 4.4454
Dy Ga Ag Pu
1 1 1 1
Cartesian
0.0000 0.0000 0.0000 Dy
-0.1702 -5.1596 7.8913 Ga
-0.0567 -1.7199 2.6304 Ag
-0.1135 -3.4397 5.2609 Pu
```

***

Density functional theory data (PBE) for an optimized crystal structure of Dy2Ga5AgRu2.

VASP energy, eV/cell: -98.86
Total moment, μB/cell: 0.0
Energy of formation, kcal/mol of atoms: -8.50

Structure (POSCAR):
```
Dy2Ga5AgRu2
1.0
4.0812 0.0000 0.0000
0.0000 9.5328 0.0000
0.0000 0.0000 9.5328
Dy Ga Ag Ru
4 10 2 4
Cartesian
0.0000 6.4977 1.7313 Dy
0.0000 3.0350 7.8014 Dy
0.0000 1.7313 3.0350 Dy
0.0000 7.8014 6.4977 Dy
2.0406 1.9942 0.5919 Ga
2.0406 7.5385 8.9409 Ga
2.0406 0.5919 7.5385 Ga
2.0406 6.7606 4.1745 Ga
2.0406 8.9409 1.9942 Ga
2.0406 2.7722 5.3583 Ga
2.0406 5.3583 6.7606 Ga
2.0406 4.1745 2.7722 Ga
2.0406 4.7664 0.0000 Ga
2.0406 0.0000 4.7664 Ga
0.0000 0.0000 0.0000 Ag
0.0000 4.7664 4.7664 Ag
0.0000 1.0879 5.8543 Ru
0.0000 8.4448 3.6785 Ru
0.0000 5.8543 8.4448 Ru
0.0000 3.6785 1.0879 Ru
```

***

Density functional theory data (PBE) for an optimized crystal structure of DyGaAg2Se4.

VASP energy, eV/cell: -65.60
Total moment, μB/cell: 0.0
Formation energy without anion corrections, eV per formula unit: -5.533

Structure (POSCAR):
```
DyGaAg2Se4
1.0
-0.5703 7.7080 -2.2932
-8.0321 -0.4603 0.5191
4.9579 -2.3286 6.3914
Dy Ga Ag Se
2 2 4 8
Cartesian
-4.5864 7.4778 -2.0336 Dy
-2.1074 6.3135 1.1620 Dy
-1.8222 2.4596 2.3087 Ga
-3.0739 -2.7886 6.9104 Ga
-0.2852 3.8541 -1.1466 Ag
-5.8383 2.2294 2.5683 Ag
2.4789 -1.1643 3.1958 Ag
0.6566 1.2952 5.5044 Ag
-6.0702 1.7042 -0.2138 Se
0.1534 4.6054 1.5576 Se
-3.7979 0.3136 3.0599 Se
2.4254 3.2146 4.8312 Se
-1.6947 3.1843 4.8192 Se
-3.7937 4.1708 2.1151 Se
0.1491 0.7483 2.5024 Se
-1.9499 1.7347 -0.2018 Se
```

***

Density functional theory data (PBE) for an optimized crystal structure of Dy3GaAg3Se8.

VASP energy, eV/cell: -67.63
Total moment, μB/cell: 0.0
Formation energy without anion corrections, eV per formula unit: -14.368

Structure (POSCAR):
```
Dy3GaAg3Se8
1.0
8.2045 0.0000 0.0000
-4.1022 7.1029 -0.0360
0.0000 -4.7261 6.4783
Dy Ga Ag Se
3 1 3 8
Cartesian
4.1022 -2.3631 3.2391 Dy
2.0511 1.1884 3.2212 Dy
-2.0511 1.1884 3.2212 Dy
0.0000 -2.3631 3.2391 Ga
0.0000 0.0000 0.0000 Ag
-2.0511 3.5514 -0.0180 Ag
2.0511 3.5514 -0.0180 Ag
0.0000 2.3643 1.6519 Se
4.1022 0.0125 4.7904 Se
4.1022 2.5489 1.6924 Se
0.0000 -0.1721 4.7499 Se
2.2090 5.8248 1.6745 Se
1.8932 -3.4480 4.7678 Se
-2.2090 5.8248 1.6745 Se
6.3112 -3.4480 4.7678 Se
```

***

Density functional theory data (PBE) for an optimized crystal structure of SmDy2Ga2Ag2.

VASP energy, eV/cell: -28.31
Total moment, μB/cell: 0.0
Energy of formation, kcal/mol of atoms: -8.66

Structure (POSCAR):
```
SmDy2Ga2Ag2
1.0
4.6365 0.0000 0.0000
2.3182 4.0153 0.0000
2.3182 1.3384 8.9467
Sm Dy Ga Ag
1 2 2 2
Cartesian
0.0000 0.0000 0.0000 Sm
2.3182 1.3384 5.5560 Dy
6.9547 4.0153 3.3906 Dy
6.9547 4.0153 6.8804 Ga
2.3182 1.3384 2.0662 Ga
4.6365 2.6769 1.8411 Ag
4.6365 2.6769 7.1055 Ag
```

***

Density functional theory data (PBE) for an optimized crystal structure of DyGaAgSn.

VASP energy, eV/cell: -15.55
Total moment, μB/cell: 0.0
Energy of formation, kcal/mol of atoms: -6.17

Structure (POSCAR):
```
DyGaAgSn
1.0
-2.3624 3.5884 -2.5810
-2.0121 -1.0403 -4.4709
-4.9812 -0.1606 -0.5301
Ga Sn Ag Dy
1 1 1 1
Cartesian
-4.6779 1.1938 -3.7910 Ga
-7.0168 1.7907 -5.6865 Sn
0.0000 0.0000 0.0000 Ag
-2.3389 0.5969 -1.8955 Dy
```

***

Density functional theory data (PBE) for an optimized crystal structure of SrDyGaAg.

VASP energy, eV/cell: -13.42
Total moment, μB/cell: 0.0
Energy of formation, kcal/mol of atoms: -7.23

Structure (POSCAR):
```
SrDyGaAg
1.0
-3.8766 -2.9148 2.1183
0.9554 -4.9843 1.5016
0.1274 -1.2355 5.1447
Sr Ga Ag Dy
1 1 1 1
Cartesian
-1.3969 -4.5673 4.3823 Sr
-2.0953 -6.8510 6.5735 Ga
-0.6984 -2.2837 2.1912 Ag
0.0000 0.0000 0.0000 Dy
```

***

Density functional theory data (PBE) for an optimized crystal structure of TbDy2Ga2Ag2.

VASP energy, eV/cell: -28.20
Total moment, μB/cell: 0.0
Energy of formation, kcal/mol of atoms: -8.60

Structure (POSCAR):
```
TbDy2Ga2Ag2
1.0
-0.7090 -4.4855 -0.7882
3.5881 -2.8662 -0.3923
0.7174 -3.9579 8.4024
Tb Dy Ga Ag
1 2 2 2
Cartesian
0.0000 0.0000 0.0000 Tb
0.8088 -3.3893 5.0844 Dy
2.7877 -7.9203 2.1375 Dy
2.6916 -8.5183 5.6270 Ga
0.9049 -2.7913 1.5950 Ga
1.8719 -5.1966 0.9372 Ag
1.7246 -6.1130 6.2847 Ag
```

***

Density functional theory data (PBE) for an optimized crystal structure of DyTiGaAg.

VASP energy, eV/cell: -19.30
Total moment, μB/cell: 1.4
Energy of formation, kcal/mol of atoms: -5.32

Structure (POSCAR):
```
DyTiGaAg
1.0
-1.9630 1.6344 -4.1308
-3.8953 -2.2104 -1.8785
-4.3212 2.2157 0.0750
Ti Ga Ag Dy
1 1 1 1
Cartesian
-2.5449 0.4099 -1.4836 Ti
0.0000 0.0000 0.0000 Ga
-5.0898 0.8199 -2.9671 Ag
-7.6347 1.2298 -4.4507 Dy
```

***

Density functional theory data (PBE) for an optimized crystal structure of DyTlGaAg.

VASP energy, eV/cell: -13.70
Total moment, μB/cell: 0.0
Energy of formation, kcal/mol of atoms: -4.91

Structure (POSCAR):
```
DyTlGaAg
1.0
-4.3635 -0.6271 -2.4121
-2.4852 -4.3499 0.3923
-4.2977 -0.2131 2.5955
Tl Ga Ag Dy
1 1 1 1
Cartesian
0.0000 0.0000 0.0000 Tl
-8.3598 -3.8926 0.4318 Ga
-2.7866 -1.2975 0.1439 Ag
-5.5732 -2.5951 0.2879 Dy
```

***

Density functional theory data (PBE) for an optimized crystal structure of Dy4TlGaAg2.

VASP energy, eV/cell: -32.71
Total moment, μB/cell: 0.0
Energy of formation, kcal/mol of atoms: -9.24

Structure (POSCAR):
```
Dy4TlGaAg2
1.0
5.1878 0.0000 0.0000
2.5939 4.4928 0.0000
2.5939 1.4976 8.4652
Dy Tl Ga Ag
4 1 1 2
Cartesian
5.1878 2.9952 7.3058 Dy
7.7818 4.4928 3.2706 Dy
2.5939 1.4976 5.1946 Dy
5.1878 2.9952 1.1594 Dy
0.0000 0.0000 0.0000 Tl
5.1878 2.9952 4.2326 Ga
7.7817 4.4928 6.3815 Ag
2.5939 1.4976 2.0837 Ag
```

***

Density functional theory data (PBE) for an optimized crystal structure of DyTmGaAg.

VASP energy, eV/cell: -16.81
Total moment, μB/cell: 0.0
Energy of formation, kcal/mol of atoms: -10.73

Structure (POSCAR):
```
DyTmGaAg
1.0
5.0758 0.0000 0.0000
2.5379 4.3958 0.0000
2.5379 1.4653 4.1444
Tm Ga Ag Dy
1 1 1 1
Cartesian
5.0758 2.9305 2.0722 Tm
7.6137 4.3958 3.1083 Ga
2.5379 1.4653 1.0361 Ag
0.0000 0.0000 0.0000 Dy
```

***

Density functional theory data (PBE) for an optimized crystal structure of DyYGaAg.

VASP energy, eV/cell: -18.83
Total moment, μB/cell: 0.0
Energy of formation, kcal/mol of atoms: -10.89

Structure (POSCAR):
```
DyYGaAg
1.0
5.1188 0.0000 0.0000
2.5594 4.4330 0.0000
2.5594 1.4777 4.1795
Y Ga Ag Dy
1 1 1 1
Cartesian
7.6782 4.4330 3.1346 Y
5.1188 2.9553 2.0897 Ga
0.0000 0.0000 0.0000 Ag
2.5594 1.4777 1.0449 Dy
```

***

Density functional theory data (PBE) for an optimized crystal structure of DyZnGa2Ag.

VASP energy, eV/cell: -16.76
Total moment, μB/cell: 0.0
Energy of formation, kcal/mol of atoms: -9.12

Structure (POSCAR):
```
DyZnGa2Ag
1.0
4.1843 0.0000 0.0000
0.0000 4.1843 0.0000
-2.0921 -2.0921 5.4779
Dy Zn Ga Ag
1 1 2 1
Cartesian
0.0000 0.0000 0.0000 Dy
2.0921 0.0000 2.7389 Zn
2.0921 2.0921 1.2059 Ga
0.0000 0.0000 4.2719 Ga
0.0000 2.0921 2.7389 Ag
```

***

Density functional theory data (PBE) for an optimized crystal structure of Dy2Zn4Ga3Ag.

VASP energy, eV/cell: -29.91
Total moment, μB/cell: 0.0
Energy of formation, kcal/mol of atoms: -8.49

Structure (POSCAR):
```
Dy2Zn4Ga3Ag
1.0
4.1871 0.0000 0.0000
0.0000 4.1871 0.0000
0.0000 0.0000 10.7002
Dy Zn Ga Ag
2 4 3 1
Cartesian
2.0935 0.0000 2.6070 Dy
0.0000 2.0935 8.0932 Dy
2.0935 2.0935 0.0000 Zn
0.0000 0.0000 0.0000 Zn
2.0935 0.0000 6.8468 Zn
0.0000 2.0935 3.8534 Zn
0.0000 0.0000 5.3501 Ga
2.0935 0.0000 9.2436 Ga
0.0000 2.0935 1.4566 Ga
2.0935 2.0935 5.3501 Ag
```

***

Density functional theory data (PBE) for an optimized crystal structure of Dy2Zn3Ga4Ag.

VASP energy, eV/cell: -31.92
Total moment, μB/cell: 0.0
Energy of formation, kcal/mol of atoms: -9.08

Structure (POSCAR):
```
Dy2Zn3Ga4Ag
1.0
-0.0783 4.0992 -0.8801
0.2205 -0.8750 -4.0951
-10.6812 -0.3132 -0.5083
Dy Zn Ga Ag
2 3 4 1
Cartesian
-2.6378 1.9734 -0.5637 Dy
-7.9723 -0.6745 -2.4322 Dy
-5.3406 -0.1566 -0.2541 Zn
-9.2747 1.7788 -0.8795 Zn
-1.3354 -0.4799 -2.1163 Zn
0.0711 1.6121 -2.4876 Ga
0.0000 0.0000 0.0000 Ga
-6.8861 1.8488 -0.7659 Ga
-3.7240 -0.5499 -2.2300 Ga
-5.2695 1.4555 -2.7417 Ag
```

***

Density functional theory data (PBE) for an optimized crystal structure of Gd2DyAg.

VASP energy, eV/cell: -35.40
Total moment, μB/cell: 14.9
Energy of formation, kcal/mol of atoms: 1.26
Energy above the lowest structure with this stoichiometry, meV per atom: 174.5

Structure (POSCAR):
```
Gd2DyAg
1.0
5.3975 0.0000 0.0000
2.6988 4.6744 0.0000
2.6988 1.5581 4.4071
Gd Ag Dy
2 1 1
Cartesian
2.6988 1.5581 1.1018 Gd
8.0963 4.6744 3.3053 Gd
0.0000 0.0000 0.0000 Ag
5.3975 3.1163 2.2035 Dy
```